Entry 1:
## La12H5Au3 (PBE)

Data for an optimized crystal structure of La12H5Au3.

Calculated values
As for the electronic total energy: -4.6732 eV per atom.

Structure (POSCAR):
```
La12H5Au3
1.0
-8.0782 8.0782 8.0782
8.0782 -8.0782 8.0782
8.0782 8.0782 -8.0782
La H Au
48 20 12
Direct
0.0215 0.2129 0.1128 La
0.0215 0.3086 0.9086 La
0.0914 0.6128 0.3999 La
0.0914 0.9785 0.6914 La
0.1001 0.7129 0.6914 La
0.1001 0.8872 0.4086 La
0.1128 0.0215 0.2129 La
0.1128 0.5914 0.8999 La
0.1914 0.2129 0.6001 La
0.1914 0.4785 0.5914 La
0.2129 0.1128 0.0215 La
0.2129 0.6001 0.1914 La
0.2871 0.3086 0.8999 La
0.2871 0.4785 0.3872 La
0.3086 0.8999 0.2871 La
0.3086 0.9086 0.0215 La
0.3872 0.2871 0.4785 La
0.3872 0.6001 0.9086 La
0.3999 0.0914 0.6128 La
0.3999 0.8086 0.7871 La
0.4086 0.1001 0.8872 La
0.4086 0.8086 0.5215 La
0.4785 0.3872 0.2871 La
0.4785 0.5914 0.1914 La
0.5215 0.4086 0.8086 La
0.5215 0.6128 0.7129 La
0.5914 0.1914 0.4785 La
0.5914 0.8999 0.1128 La
0.6001 0.1914 0.2129 La
0.6001 0.9086 0.3872 La
0.6128 0.3999 0.0914 La
0.6128 0.7129 0.5215 La
0.6914 0.0914 0.9785 La
0.6914 0.1001 0.7129 La
0.7129 0.5215 0.6128 La
0.7129 0.6914 0.1001 La
0.7871 0.3999 0.8086 La
0.7871 0.8872 0.9785 La
0.8086 0.5215 0.4086 La
0.8086 0.7871 0.3999 La
0.8872 0.4086 0.1001 La
0.8872 0.9785 0.7871 La
0.8999 0.1128 0.5914 La
0.8999 0.2871 0.3086 La
0.9086 0.0215 0.3086 La
0.9086 0.3872 0.6001 La
0.9785 0.6914 0.0914 La
0.9785 0.7871 0.8872 La
0.0000 0.0000 0.0000 H
0.0000 0.0000 0.5000 H
0.0000 0.5000 0.0000 H
0.0000 0.5000 0.5000 H
0.1250 0.7500 0.8750 H
0.1250 0.8750 0.2500 H
0.2500 0.1250 0.8750 H
0.2500 0.6250 0.3750 H
0.3750 0.2500 0.6250 H
0.3750 0.6250 0.7500 H
0.5000 0.0000 0.0000 H
0.5000 0.0000 0.5000 H
0.5000 0.5000 0.0000 H
0.5000 0.5000 0.5000 H
0.6250 0.3750 0.2500 H
0.6250 0.7500 0.3750 H
0.7500 0.3750 0.6250 H
0.7500 0.8750 0.1250 H
0.8750 0.1250 0.7500 H
0.8750 0.2500 0.1250 H
0.1250 0.2500 0.3750 Au
0.1250 0.3750 0.7500 Au
0.2500 0.3750 0.1250 Au
0.2500 0.8750 0.6250 Au
0.3750 0.1250 0.2500 Au
0.3750 0.7500 0.1250 Au
0.6250 0.2500 0.8750 Au
0.6250 0.8750 0.7500 Au
0.7500 0.1250 0.3750 Au
0.7500 0.6250 0.8750 Au
0.8750 0.6250 0.2500 Au
0.8750 0.7500 0.6250 Au
```

---

Entry 2:
## La2H3Au (PBE)

Data for an optimized crystal structure of La2H3Au.

Calculated values
As for the electronic total energy: -4.4842 eV per atom.

Structure (POSCAR):
```
La2H3Au
1.0
7.6607 -1.9586 0.0000
7.6607 1.9586 0.0000
-2.9169 0.0000 6.9073
La H Au
4 6 2
Direct
0.0316 0.0316 0.2702 La
0.2948 0.2948 0.3039 La
0.7052 0.7052 0.6961 La
0.9684 0.9684 0.7298 La
0.0975 0.0975 0.6279 H
0.1977 0.1977 0.4893 H
0.4341 0.4341 0.5646 H
0.5659 0.5659 0.4354 H
0.8023 0.8023 0.5107 H
0.9025 0.9025 0.3721 H
0.3784 0.3784 0.9556 Au
0.6216 0.6216 0.0444 Au
```

---

Entry 3:
## LaH2Au2 (PBE)

Data for an optimized crystal structure of LaH2Au2.

Calculated values
Its energy above the most stable polymorph in this dataset is 192 meV per atom.

Structure (POSCAR):
```
LaH2Au2
1.0
-2.0691 2.0691 4.5371
2.0691 -2.0691 4.5371
2.0691 2.0691 -4.5371
La H Au
1 2 2
Direct
0.0000 0.0000 0.0000 La
0.2500 0.7500 0.5000 H
0.7500 0.2500 0.5000 H
0.3442 0.3442 0.0000 Au
0.6558 0.6558 0.0000 Au
```